(1)
{
  "formula": "K3HIBr",
  "functional": "PBE",
  "state": "relaxed",
  "spacegroup": "No. 12",
  "e_tot_ev_per_atom": -2.75,
  "lattice_angstrom": [[5.297, 0.000, 0.000], [-2.648, 9.163, 0.167], [0.000, -2.497, 8.924]],
  "species": ["H", "H", "K", "K", "K", "K", "K", "K", "Br", "Br", "I", "I"],
  "frac_coords": [[0.998, 0.996, 0.729], [0.002, 0.004, 0.271], [0.499, 0.998, 0.731], [0.150, 0.301, 0.811], [0.155, 0.310, 0.340], [0.501, 0.002, 0.269], [0.845, 0.690, 0.660], [0.850, 0.699, 0.189], [0.654, 0.308, 0.575], [0.346, 0.692, 0.425], [0.650, 0.301, 0.075], [0.350, 0.699, 0.925]]
}

(2)
{
  "formula": "CaAg2SbBr",
  "functional": "PBE",
  "state": "relaxed",
  "spacegroup": "No. 123",
  "e_tot_ev_per_atom": -2.45,
  "formation_energy_uncorrected_ev_per_fu": 1.2,
  "lattice_angstrom": [[-0.880, 0.307, -5.038], [-2.266, -5.658, 0.051], [-4.674, 1.880, 0.931]],
  "species": ["Ag", "Ag", "Br", "Ca", "Sb"],
  "frac_coords": [[0.000, 0.000, 0.500], [0.500, 0.000, 0.000], [0.000, 0.000, 0.000], [0.500, 0.500, 0.500], [0.000, 0.500, 0.000]]
}

(3)
{
  "formula": "Tm8Sc2Hg",
  "functional": "PBE",
  "state": "relaxed",
  "spacegroup": "No. 12",
  "e_tot_ev_per_atom": -4.47,
  "formation_energy_ev_per_atom": -0.0433,
  "lattice_angstrom": [[-2.713, 4.061, -2.276], [-4.804, -1.123, 3.723], [4.228, 3.709, 7.956]],
  "species": ["Tm", "Tm", "Tm", "Tm", "Tm", "Tm", "Tm", "Tm", "Sc", "Sc", "Hg"],
  "frac_coords": [[0.580, 0.400, 0.160], [0.045, 0.735, 0.091], [0.955, 0.265, 0.909], [0.662, 0.875, 0.325], [0.842, 0.793, 0.685], [0.158, 0.207, 0.315], [0.338, 0.125, 0.675], [0.420, 0.600, 0.840], [0.757, 0.337, 0.513], [0.243, 0.663, 0.487], [0.500, 0.000, 0.000]]
}

(4)
{
  "formula": "LiZn6Mo",
  "functional": "PBE",
  "state": "relaxed",
  "spacegroup": "No. 123",
  "e_tot_ev_per_atom": -2.60,
  "formation_energy_ev_per_atom": -0.0528,
  "lattice_angstrom": [[3.864, 0.000, 0.000], [0.000, 3.864, 0.000], [0.000, 0.000, 7.811]],
  "species": ["Zn", "Zn", "Zn", "Zn", "Zn", "Zn", "Li", "Mo"],
  "frac_coords": [[0.500, 0.000, 0.250], [0.000, 0.500, 0.250], [0.500, 0.000, 0.750], [0.500, 0.500, 0.000], [0.500, 0.500, 0.500], [0.000, 0.500, 0.750], [0.000, 0.000, 0.000], [0.000, 0.000, 0.500]]
}

(5)
{
  "formula": "KCrIr2",
  "functional": "PBE",
  "state": "relaxed",
  "spacegroup": "No. 8",
  "e_tot_ev_per_atom": -6.54,
  "relative_energy_ev_per_fu": 0.96,
  "formation_energy_ev_per_atom": 0.5704,
  "lattice_angstrom": [[5.587, 0.051, -0.007], [4.889, 2.705, -0.007], [1.470, 0.387, 6.172]],
  "species": ["Cr", "Ir", "Ir", "K"],
  "frac_coords": [[0.310, 0.310, 0.066], [0.699, 0.699, 0.853], [0.001, 0.001, 0.048], [0.490, 0.490, 0.533]]
}

(6)
{
  "formula": "Gd2RuN",
  "functional": "PBE",
  "state": "relaxed",
  "spacegroup": "No. 166",
  "e_tot_ev_per_atom": -12.14,
  "formation_energy_uncorrected_ev_per_fu": -2.8,
  "lattice_angstrom": [[-1.849, -1.260, 2.668], [-2.865, -1.885, -0.603], [2.304, -6.912, 0.605]],
  "species": ["N", "Gd", "Gd", "Ru"],
  "frac_coords": [[0.500, 0.500, 0.500], [0.765, 0.765, 0.705], [0.235, 0.235, 0.295], [0.000, 0.000, 0.000]]
}

(7)
{
  "formula": "LaCeHfSc",
  "functional": "PBE",
  "state": "relaxed",
  "spacegroup": "No. 216",
  "e_tot_ev_per_atom": -6.56,
  "formation_energy_ev_per_atom": 0.2257,
  "lattice_angstrom": [[5.384, 0.000, 0.000], [2.692, 4.663, 0.000], [2.692, 1.554, 4.396]],
  "species": ["La", "Sc", "Ce", "Hf"],
  "frac_coords": [[0.750, 0.750, 0.750], [0.000, 0.000, 0.000], [0.250, 0.250, 0.250], [0.500, 0.500, 0.500]]
}

(8)
{
  "formula": "Na4Dy2Ir3O12",
  "functional": "PBE",
  "state": "relaxed",
  "spacegroup": "No. 189",
  "e_tot_ev_per_atom": -6.50,
  "formation_energy_uncorrected_ev_per_fu": -35.9,
  "lattice_angstrom": [[4.739, -8.207, 0.000], [4.739, 8.207, 0.000], [0.000, 0.000, 3.200]],
  "species": ["Dy", "Dy", "O", "O", "O", "O", "O", "O", "O", "O", "O", "O", "O", "O", "Na", "Na", "Na", "Na", "Ir", "Ir", "Ir"],
  "frac_coords": [[0.667, 0.333, 0.500], [0.333, 0.667, 0.500], [0.243, 0.461, 0.000], [0.459, 0.000, 0.500], [0.000, 0.459, 0.500], [0.539, 0.782, 0.000], [0.198, 0.000, 0.500], [0.802, 0.802, 0.500], [0.541, 0.541, 0.500], [0.218, 0.757, 0.000], [0.757, 0.218, 0.000], [0.000, 0.198, 0.500], [0.461, 0.243, 0.000], [0.782, 0.539, 0.000], [0.698, 0.000, 0.500], [0.000, 0.698, 0.500], [0.302, 0.302, 0.500], [0.000, 0.000, 0.000], [0.000, 0.332, 0.000], [0.668, 0.668, 0.000], [0.332, 0.000, 0.000]]
}

(9)
{
  "formula": "AlSbPt2",
  "functional": "PBE",
  "state": "relaxed",
  "spacegroup": "No. 71",
  "e_tot_ev_per_atom": -5.37,
  "relative_energy_ev_per_fu": 0.68,
  "formation_energy_uncorrected_ev_per_fu": -1.5,
  "lattice_angstrom": [[-2.623, -3.908, 0.789], [3.705, -2.904, 0.786], [-1.226, 4.007, 2.284]],
  "species": ["Al", "Pt", "Pt", "Sb"],
  "frac_coords": [[0.750, 0.250, 0.500], [0.534, 0.534, 0.000], [0.966, 0.966, 0.000], [0.250, 0.750, 0.500]]
}

(10)
{
  "formula": "LuZnPtRh",
  "functional": "PBE",
  "state": "relaxed",
  "spacegroup": "No. 216",
  "e_tot_ev_per_atom": -5.65,
  "formation_energy_ev_per_atom": -0.8528,
  "lattice_angstrom": [[4.553, 0.000, 0.000], [2.277, 3.943, 0.000], [2.277, 1.314, 3.718]],
  "species": ["Zn", "Pt", "Lu", "Rh"],
  "frac_coords": [[0.500, 0.500, 0.500], [0.750, 0.750, 0.750], [0.000, 0.000, 0.000], [0.250, 0.250, 0.250]]
}

(11)
{
  "formula": "NaHgRh3",
  "functional": "PBE",
  "state": "relaxed",
  "spacegroup": "No. 221",
  "e_tot_ev_per_atom": -3.23,
  "relative_energy_ev_per_fu": 0.70,
  "formation_energy_ev_per_atom": 1.5071,
  "lattice_angstrom": [[4.539, 0.000, 0.000], [0.000, 4.539, 0.000], [0.000, 0.000, 4.539]],
  "species": ["Na", "Rh", "Rh", "Rh", "Hg"],
  "frac_coords": [[0.000, 0.000, 0.000], [0.500, 0.000, 0.000], [0.000, 0.000, 0.500], [0.000, 0.500, 0.000], [0.500, 0.500, 0.500]]
}

(12)
{
  "formula": "Mn2Nb2CoS6",
  "functional": "PBE",
  "state": "relaxed",
  "spacegroup": "No. 12",
  "e_tot_ev_per_atom": -6.99,
  "formation_energy_uncorrected_ev_per_fu": -6.5,
  "lattice_angstrom": [[-0.373, -2.137, 5.567], [5.024, -0.632, -3.172], [0.406, 6.167, 1.313]],
  "species": ["S", "S", "S", "S", "S", "S", "Mn", "Mn", "Nb", "Nb", "Co"],
  "frac_coords": [[0.588, 0.891, 0.239], [0.412, 0.109, 0.761], [0.238, 0.238, 0.288], [0.109, 0.412, 0.761], [0.762, 0.762, 0.712], [0.891, 0.588, 0.239], [0.835, 0.165, 0.000], [0.165, 0.835, 0.000], [0.303, 0.697, 0.500], [0.697, 0.303, 0.500], [0.000, 0.000, 0.500]]
}